Hf2AlNi4 | Alexandria via LeMat-Bulk | PBE-GGA | optimized geometry; formation energy from the elements = 19.5 kJ/mol of atoms; space group = I4/mmm, No. 139; D(E_F) = 0.63 states/eV per atom; total magnetization = 0.0 μB/f.u.; energy above the most stable polymorph in this dataset = 440 meV/atom
1.0
4.211 0.000 0.000
0.000 4.211 0.000
0.000 0.000 13.027
Hf Al Ni
4 2 8
direct
0.000 0.000 0.134
0.000 0.000 0.866
0.500 0.500 0.366
0.500 0.500 0.634
0.000 0.000 0.500
0.500 0.500 0.000
0.000 0.000 0.323
0.000 0.000 0.677
0.000 0.500 0.000
0.000 0.500 0.500
0.500 0.000 0.000
0.500 0.000 0.500
0.500 0.500 0.177
0.500 0.500 0.823